## Ba3NpCo2O8 (PBE+U)

Data for a relaxed Ba3NpCo2O8 crystal.

## Properties
- spin magnetization (μB/atom) = 0.357
- uncorrected energy (eV/cell) = -100.29

Cell: 5.9531 5.9531 7.7028 Å, 90.00 90.00 120.00°
Closest atoms and distances in Å follow each position.
Fractional positions:
Co: 0.6667 0.3333 0.7878  4 O 1.80-2.01
O: 0.1623 0.8377 0.3380  1 Co 2.01, 1 Np 2.09
O: 0.8377 0.6755 0.6620  1 Co 2.01, 1 Np 2.09
Np: 0.0000 0.0000 0.5000  6 O 2.09
Ba: 0.0000 0.0000 0.0000  12 O 3.09-3.44
O: 0.3245 0.1623 0.6620  1 Co 2.01, 1 Np 2.09
O: 0.6755 0.8377 0.3380  1 Co 2.01, 1 Np 2.09
O: 0.3333 0.6667 0.9781  1 Co 1.80
Ba: 0.3333 0.6667 0.6654  1 O 2.41
O: 0.8377 0.1623 0.6620  1 Co 2.01, 1 Np 2.09
Co: 0.3333 0.6667 0.2122  4 O 1.80-2.01
Ba: 0.6667 0.3333 0.3346  1 O 2.41
O: 0.6667 0.3333 0.0219  1 Co 1.80
O: 0.1623 0.3245 0.3380  1 Co 2.01, 1 Np 2.09